DFT (PBE-GGA) results for IrAuS2 after structural relaxation.

**Space group**: P3m1 (156)

a = 3.539 Å, b = 3.539 Å, c = 7.455 Å
α = 90.00°, β = 90.00°, γ = 120.00°
Sites, in units of the cell vectors:
Ir  0.000  0.000  0.000
Au  0.667  0.333  0.493
S  0.000  0.000  0.300
S  0.333  0.667  0.858

=====

DFT (PBE-GGA) results for IrAuS2 after structural relaxation.

**Space group**: Pm (6)

a = 5.753 Å, b = 3.625 Å, c = 7.060 Å
α = 90.00°, β = 99.75°, γ = 90.00°
Sites, in units of the cell vectors:
Ir  0.000  0.000  0.000
Ir  0.446  0.500  0.706
Au  0.653  0.000  0.222
Au  0.973  0.500  0.490
S  0.131  0.500  0.200
S  0.382  0.000  0.909
S  0.456  0.000  0.500
S  0.853  0.500  0.798

=====

DFT (PBE-GGA) results for IrAuS after structural relaxation.

**Space group**: C2/m (12)

a = 6.104 Å, b = 6.104 Å, c = 8.931 Å
α = 126.96°, β = 126.96°, γ = 28.15°
Sites, in units of the cell vectors:
Ir  0.108  0.108  0.481
Ir  0.892  0.892  0.519
Au  0.180  0.180  0.835
Au  0.820  0.820  0.165
S  0.361  0.361  0.686
S  0.639  0.639  0.314

=====

| no. | raw formation energy (eV per atom) |
| --- | --- |
| 1 | 0.29 |
| 2 | -0.11 |
| 3 | 0.17 |